! Cs2CrCu2Se4 | Alexandria via LeMat-Bulk | PBE | optimized geometry; values from VASP
! space group = C2/m, No. 12
! E = -0.31930 Ry per atom
! formation energy without anion corrections = -626 meV/atom
&SYSTEM
  ibrav = 0, nat = 9, ntyp = 4
/
ATOMIC_SPECIES
Cs 132.91 Cs.upf
Cr 52.00 Cr.upf
Cu 63.55 Cu.upf
Se 78.96 Se.upf
CELL_PARAMETERS angstrom
3.957 0.000 0.000
0.000 8.255 0.586
-1.979 -2.692 6.884
ATOMIC_POSITIONS angstrom
Cs 0.000 3.936 2.179
Cs 1.979 1.627 5.290
Cr 0.000 0.000 0.000
Cu 1.979 7.123 3.173
Cu 0.000 -1.560 4.297
Se 0.000 0.307 2.616
Se 1.979 5.256 4.854
Se 1.979 6.551 0.754
Se 0.000 -0.988 6.716



! CsCrCuSe3 | Alexandria via LeMat-Bulk | PBE | optimized geometry; values from VASP
! space group = P2_1/m, No. 11
! E = -0.35382 Ry per atom
! formation energy without anion corrections = -643 meV/atom
&SYSTEM
  ibrav = 0, nat = 12, ntyp = 4
/
ATOMIC_SPECIES
Cs 132.91 Cs.upf
Cr 52.00 Cr.upf
Cu 63.55 Cu.upf
Se 78.96 Se.upf
CELL_PARAMETERS angstrom
3.818 0.000 0.000
0.000 9.120 -0.179
0.000 -4.518 9.026
ATOMIC_POSITIONS angstrom
Cs 0.955 1.008 2.303
Cs 2.864 3.594 6.544
Cr 0.955 5.527 1.256
Cr 2.864 -0.925 7.591
Cu 0.955 -2.001 5.414
Cu 2.864 6.603 3.433
Se 2.864 7.230 1.126
Se 0.955 -2.628 7.721
Se 0.955 5.105 3.773
Se 2.864 -0.502 5.074
Se 2.864 3.819 1.093
Se 0.955 0.783 7.754



! CsCrCuSe2 | Alexandria via LeMat-Bulk | PBE | optimized geometry; values from VASP
! space group = Cmme, No. 67
! E = -0.35530 Ry per atom
! formation energy without anion corrections = -526 meV/atom
&SYSTEM
  ibrav = 0, nat = 10, ntyp = 4
/
ATOMIC_SPECIES
Cs 132.91 Cs.upf
Cr 52.00 Cr.upf
Cu 63.55 Cu.upf
Se 78.96 Se.upf
CELL_PARAMETERS angstrom
5.825 0.000 0.000
0.000 6.373 0.000
0.000 -3.186 7.539
ATOMIC_POSITIONS angstrom
Cs 1.337 3.186 3.770
Cs 4.489 0.000 3.770
Cr 2.913 4.780 0.000
Cr 2.913 1.593 0.000
Cu 0.000 0.000 0.000
Cu 0.000 3.186 0.000
Se 4.143 3.186 5.978
Se 4.143 3.186 1.561
Se 1.682 0.000 5.978
Se 1.682 0.000 1.561



! Cs2TiCrCu | Alexandria via LeMat-Bulk | PBE | optimized geometry; values from VASP
! DFT formation energy = 1.31 eV/atom
! space group = P4/mmm, No. 123
! E = -0.24645 Ry per atom
&SYSTEM
  ibrav = 0, nat = 5, ntyp = 4
/
ATOMIC_SPECIES
Cs 132.91 Cs.upf
Cr 52.00 Cr.upf
Cu 63.55 Cu.upf
Ti 47.87 Ti.upf
CELL_PARAMETERS angstrom
-3.124 -3.579 4.897
-0.913 -3.356 -3.035
5.913 -3.023 1.563
ATOMIC_POSITIONS angstrom
Cs 2.957 -1.511 0.782
Cs -1.562 -1.789 2.448
Cr 0.000 0.000 0.000
Cu 0.938 -4.979 1.713
Ti -0.457 -1.678 -1.518



! CsTlCr2Cu | Alexandria via LeMat-Bulk | PBE | optimized geometry; values from VASP
! DFT formation energy = 1.97 eV/atom
! space group = P4/mmm, No. 123
! E = -0.24597 Ry per atom
&SYSTEM
  ibrav = 0, nat = 5, ntyp = 4
/
ATOMIC_SPECIES
Cs 132.91 Cs.upf
Cr 52.00 Cr.upf
Tl 204.38 Tl.upf
Cu 63.55 Cu.upf
CELL_PARAMETERS angstrom
6.217 0.000 0.000
0.000 5.867 0.000
0.000 0.000 6.217
ATOMIC_POSITIONS angstrom
Cs 0.000 0.000 0.000
Cr 0.000 0.000 3.108
Cr 3.108 0.000 0.000
Tl 3.108 2.933 3.108
Cu 0.000 2.933 0.000



! CsTl2CrCu | Alexandria via LeMat-Bulk | PBE | optimized geometry; values from VASP
! DFT formation energy = 0.90 eV/atom
! space group = P4/mmm, No. 123
! E = -0.21744 Ry per atom
&SYSTEM
  ibrav = 0, nat = 5, ntyp = 4
/
ATOMIC_SPECIES
Cs 132.91 Cs.upf
Cr 52.00 Cr.upf
Tl 204.38 Tl.upf
Cu 63.55 Cu.upf
CELL_PARAMETERS angstrom
-3.490 1.813 3.441
-2.002 -5.311 0.769
3.434 -0.734 3.870
ATOMIC_POSITIONS angstrom
Cs -1.001 -2.655 0.384
Cr 0.000 0.000 0.000
Tl 1.717 -0.367 1.935
Tl -1.745 0.907 1.720
Cu -1.029 -2.116 4.040



! CsDyCrI6 | Alexandria via LeMat-Bulk | PBE | optimized geometry; values from VASP
! space group = P312, No. 149
! E = -0.27569 Ry per atom
! formation energy without anion corrections = -1042 meV/atom
&SYSTEM
  ibrav = 0, nat = 9, ntyp = 4
/
ATOMIC_SPECIES
Cs 132.91 Cs.upf
Dy 162.50 Dy.upf
Cr 52.00 Cr.upf
I 126.90 I.upf
CELL_PARAMETERS angstrom
7.689 0.000 0.000
3.845 6.659 0.000
0.000 -0.001 8.758
ATOMIC_POSITIONS angstrom
Cs 7.689 0.000 8.758
Dy 3.845 2.220 4.379
Cr 7.689 4.439 4.379
I 9.033 2.519 2.675
I 6.698 6.563 6.083
I 6.345 2.518 6.083
I 10.025 4.236 6.083
I 5.353 4.236 2.675
I 8.681 6.563 2.674



! CsErCrI6 | Alexandria via LeMat-Bulk | PBE | optimized geometry; values from VASP
! space group = P312, No. 149
! E = -0.27500 Ry per atom
! formation energy without anion corrections = -1037 meV/atom
&SYSTEM
  ibrav = 0, nat = 9, ntyp = 4
/
ATOMIC_SPECIES
Cs 132.91 Cs.upf
Er 167.26 Er.upf
Cr 52.00 Cr.upf
I 126.90 I.upf
CELL_PARAMETERS angstrom
7.655 0.002 0.000
3.829 6.630 -0.001
0.000 -0.002 8.790
ATOMIC_POSITIONS angstrom
Cs 0.001 -0.002 8.790
Er 3.829 2.210 4.394
Cr 7.655 4.421 4.394
I 9.003 2.498 2.698
I 6.665 6.548 6.090
I 6.307 2.495 6.093
I 9.995 4.214 6.093
I 5.315 4.213 2.696
I 8.648 6.549 2.694



Calculated magnetization, 2.7, 4.6, 8.0, 1.6, 11.2, 3.9, 4.0, 4.0 Bohr magnetons per cell (same order as the records).